Here is a crystal of NaCu3O4 relaxed with PBEsol from Alexandria via LeMat-Bulk. Energies are from meta-GGA SCAN.

Results
Polymorph energy (0 for the lowest one) = 0.0 meV/atom
Calculated total energy = -10.30 eV per atom
Raw formation energy = -7.7 eV/f.u.

Structure (CIF):
```
data_NaCu3O4
_space_group_name_H-M_alt 'P m -3 n'
_space_group_IT_number 223
_space_group_name_Hall '-P 4n 2 3'
_cell_length_a 5.3909
_cell_length_b 5.3909
_cell_length_c 5.3909
_cell_angle_alpha 90.00
_cell_angle_beta 90.00
_cell_angle_gamma 90.00
loop_
_atom_site_label
_atom_site_type_symbol
_atom_site_fract_x
_atom_site_fract_y
_atom_site_fract_z
_atom_site_occupancy
Na1 Na 0.0000 0.0000 0.0000 1
Cu1 Cu 0.0000 0.2500 0.5000 1
O1 O 0.2500 0.2500 0.2500 1
```